# 1
Material: Mg2AlTc
Method: DFT, PBE
State: relaxed

a = 5.101 Å, b = 5.101 Å, c = 5.101 Å
α = 135.25°, β = 134.51°, γ = 65.71°
Sites, in units of the cell vectors:
Al 0.252 0.752 0.500
Mg 0.001 0.001 0.000
Mg 0.749 0.249 0.500
Tc 0.499 0.499 0.000



# 2
Material: YRe3
Method: DFT, PBE
State: relaxed

a = 6.561 Å, b = 6.561 Å, c = 4.280 Å
α = 90.00°, β = 90.00°, γ = 120.00°
Sites, in units of the cell vectors:
Y 0.333 0.667 0.250
Y 0.667 0.333 0.750
Re 0.866 0.134 0.250
Re 0.134 0.866 0.750
Re 0.866 0.731 0.250
Re 0.134 0.269 0.750
Re 0.269 0.134 0.250
Re 0.731 0.866 0.750



Calculated energy of formation, -0.1 1.8 eV/f.u. (same order as the records).